## Pm2MgRe (PBE)

Data for crystalline Pm2MgRe at its relaxed geometry.

Cell lengths 3.127, 3.127, 34.931 Å; angles 90.00, 90.00, 120.00 degrees
Fractional positions:
Pm 0.000 0.000 0.080
Pm 0.000 0.000 0.920
Pm 0.333 0.667 0.587
Pm 0.333 0.667 0.747
Pm 0.667 0.333 0.253
Pm 0.667 0.333 0.413
Mg 0.000 0.000 0.500
Mg 0.333 0.667 0.167
Mg 0.667 0.333 0.833
Re 0.000 0.000 0.000
Re 0.333 0.667 0.667
Re 0.667 0.333 0.333

ΔH_f (0 K) in meV/atom: 805
DFT total energy in eV/cell: -61.0
Theoretical density in g/cm³: 8.4
DOS at the Fermi energy in states/eV/cell: 18.59